Here is a geometry-optimized TlIn3 structure from Alexandria. Energies are from GGA-PBE.

Results
V = 113 Å³/f.u.
Total magnetization = 0.000 μB per formula unit
Formation energy from the elements = 0.1 eV/f.u.

Cell: 3.595 5.482 5.747 Å, 90.00 90.00 90.00°
Space group Pmm2 (No. 25)
One atom of each set of equivalent atoms:
Tl  0.000  0.000  0.000 x1
In  0.000  0.500  0.622 x1
In  0.500  0.000  0.499 x1
In  0.500  0.500  0.132 x1